[1]
Computed, not measured: Zn2WBr after structural relaxation at the PBE level of DFT.

a = 2.8908 Å, b = 5.3813 Å, c = 10.3177 Å
α = 90.00°, β = 90.00°, γ = 90.00°
Last column: nearest neighbours and their distance in Å.
Space group Cmm2 (No. 35)
Symmetry-distinct sites (fractional):
Zn 0.0000 0.0000 0.0000  4 Zn 2.65-2.89, 2 W 2.68
Zn 0.0000 0.5000 0.2155  4 Zn 2.65-2.89
W 0.0000 0.5000 0.7809  2 Br 2.58, 2 Zn 2.68, 2 W 2.89
Br 0.0000 0.0000 0.5733  2 W 2.58, 2 Br 2.89

Values from the calculation:
* uncorrected energy: -30.00 eV for the cell shown
* formation energy without anion corrections: 0.54 eV per atom
* relative energy among the computed polymorphs: 0.62 eV per formula unit

[2]
Computed, not measured: Pr9MgIn2 after structural relaxation at the PBE level of DFT.

a = 5.0438 Å, b = 5.0438 Å, c = 15.0864 Å
α = 90.00°, β = 90.00°, γ = 90.00°
Last column: nearest neighbours and their distance in Å.
Space group P4/mmm (No. 123)
Symmetry-distinct sites (fractional):
Pr 0.0000 0.0000 0.0000  4 Mg 3.57, 8 Pr 3.58
Pr 0.0000 0.0000 0.3328  8 Pr 3.53-3.57, 4 In 3.57
Pr 0.0000 0.5000 0.1688  8 Pr 3.53-3.58, 2 In 3.54, 2 Mg 3.58
Pr 0.0000 0.5000 0.5000  4 In 3.56, 8 Pr 3.57
Mg 0.5000 0.5000 0.0000  12 Pr 3.57-3.58
In 0.5000 0.5000 0.3338  12 Pr 3.54-3.57

Values from the calculation:
* uncorrected energy: -52.33 eV for the cell shown
* formation enthalpy at 0 K: -0.19 eV/atom

[3]
Computed, not measured: Tc3AsN after structural relaxation at the PBE level of DFT.

a = 4.0675 Å, b = 4.0675 Å, c = 4.0675 Å
α = 90.00°, β = 90.00°, γ = 90.00°
Last column: nearest neighbours and their distance in Å.
Space group Pm-3m (No. 221)
Symmetry-distinct sites (fractional):
Tc 0.0000 0.0000 0.5000  2 N 2.03
As 0.5000 0.5000 0.5000  12 Tc 2.88
N 0.0000 0.0000 0.0000  6 Tc 2.03

Values from the calculation:
* uncorrected energy: -42.96 eV for the cell shown
* formation energy without anion corrections: 0.22 eV per atom
* relative energy among the computed polymorphs: 0.00 eV per formula unit

[4]
Computed, not measured: LaTcTe4 after structural relaxation at the PBE level of DFT.

a = 8.9010 Å, b = 8.9010 Å, c = 8.9010 Å
α = 90.00°, β = 90.00°, γ = 90.00°
Last column: nearest neighbours and their distance in Å.
Space group F-43m (No. 216)
Symmetry-distinct sites (fractional):
La 0.0000 0.0000 0.0000  12 Te 3.69, 4 Tc 3.85
Tc 0.2500 0.2500 0.7500  12 Te 3.69, 4 La 3.85
Te 0.1246 0.1246 0.3754  6 Te 3.14-3.16

Values from the calculation:
* uncorrected energy: -99.20 eV for the cell shown
* formation energy without anion corrections: 0.51 eV per atom

[5]
Computed, not measured: Zr2VPdC after structural relaxation at the PBE level of DFT.

a = 4.5737 Å, b = 4.5737 Å, c = 3.9383 Å
α = 90.00°, β = 90.00°, γ = 90.00°
Last column: nearest neighbours and their distance in Å.
Space group P4/mmm (No. 123)
Symmetry-distinct sites (fractional):
Zr 0.0000 0.5000 0.0000  2 C 2.29
V 0.0000 0.0000 0.5000  2 C 1.97
Pd 0.5000 0.5000 0.5000  8 Zr 3.02, 4 V 3.23
C 0.0000 0.0000 0.0000  2 V 1.97

Values from the calculation:
* uncorrected energy: -42.88 eV for the cell shown
* formation enthalpy at 0 K: -0.45 eV/atom

[6]
Computed, not measured: Sc2CrNiCl after structural relaxation at the PBE level of DFT.

a = 4.9633 Å, b = 4.9633 Å, c = 4.5050 Å
α = 90.00°, β = 90.00°, γ = 90.00°
Last column: nearest neighbours and their distance in Å.
Space group P4/mmm (No. 123)
Symmetry-distinct sites (fractional):
Sc 0.0000 0.5000 0.0000  2 Ni 2.48
Cr 0.0000 0.0000 0.5000  8 Sc 3.35, 4 Cl 3.51
Ni 0.5000 0.5000 0.0000  2 Cl 2.25, 4 Sc 2.48
Cl 0.5000 0.5000 0.5000  2 Ni 2.25

Values from the calculation:
* uncorrected energy: -27.72 eV for the cell shown
* formation energy without anion corrections: 0.44 eV per atom